A plane-wave DFT calculation with PBE was carried out for a geometry-optimized ThNpTeN2 structure.

Calculated values
- Uncorrected energy: -9.480 eV/atom
- Calculated volume: 20.636 Å³/atom
- Formation energy from raw total energies: -1.45 eV per atom
- Spin magnetization: 6.000 μB per cell

Structure (CIF):
```
data_ThNpTeN2
_space_group_name_H-M_alt 'I 4 m m'
_space_group_IT_number 107
_space_group_name_Hall 'I 4 -2'
_cell_length_a 3.998
_cell_length_b 3.998
_cell_length_c 12.910
_cell_angle_alpha 90.00
_cell_angle_beta 90.00
_cell_angle_gamma 90.00
loop_
_atom_site_label
_atom_site_type_symbol
_atom_site_fract_x
_atom_site_fract_y
_atom_site_fract_z
Th1 Th 0.000 0.000 0.000
Np1 Np 0.000 0.000 0.676
Te1 Te 0.000 0.000 0.338
N1 N 0.000 0.500 0.095
```